Record 1
Here is CoPRu2 at its PBEsol-relaxed geometry from Alexandria. Energies are from meta-GGA SCAN.

Cell lengths 2.774, 4.140, 4.962 Å; angles 114.66, 106.23, 90.00 degrees
Site moments in Bohr magnetons follow the coordinates.
Element x y z (fractional)
Ru  0.289  0.289  0.577  0.04
Co  0.500  0.000  0.000  1.48
Ru  0.711  0.711  0.423  0.04
P  0.000  0.500  0.000  -0.03

Results
DFT formation energy: -73 meV/atom
Total DFT energy (no corrections): -24.41 eV/atom
Spin magnetization: 1.43 μB/cell

=====

Record 2
Here is Ca10P6SO24 at its PBEsol-relaxed geometry from Alexandria. Energies are from meta-GGA SCAN.

Cell lengths 6.746, 9.523, 16.452 Å; angles 90.42, 90.00, 90.00 degrees
Site moments in Bohr magnetons follow the coordinates.
Element x y z (fractional)
O  0.306  0.722  0.190  0.00
Ca  0.262  0.003  0.750  0.00
O  0.293  0.605  0.017  0.00
O  0.263  0.841  0.329  0.00
Ca  0.515  0.257  0.909  0.00
Ca  0.254  0.503  0.250  0.00
O  0.940  0.013  0.385  0.00
P  0.247  0.965  0.565  0.00
O  0.938  0.555  0.872  0.00
O  0.752  0.162  0.493  0.00
O  0.438  0.445  0.128  0.00
O  0.579  0.055  0.372  0.00
P  0.253  0.362  0.736  0.00
P  0.263  0.862  0.236  0.00
O  0.590  0.165  0.089  0.00
O  0.711  0.777  0.310  0.00
O  0.096  0.474  0.712  0.00
O  0.750  0.430  0.583  0.00
O  0.250  0.570  0.417  0.00
O  0.559  0.088  0.795  0.00
Ca  0.276  0.623  0.876  0.00
O  0.921  0.026  0.788  0.00
O  0.076  0.487  0.115  0.00
O  0.421  0.974  0.212  0.00
Ca  0.019  0.241  0.922  0.00
O  0.763  0.159  0.671  0.00
P  0.769  0.535  0.935  0.00
O  0.781  0.579  0.454  0.00
P  0.756  0.580  0.549  0.00
P  0.753  0.638  0.264  0.00
Ca  0.741  0.877  0.624  0.00
O  0.806  0.278  0.810  0.00
O  0.457  0.412  0.705  0.00
Ca  0.751  0.874  0.876  0.00
O  0.764  0.662  0.993  0.00
O  0.090  0.835  0.911  0.00
P  0.763  0.138  0.764  0.00
P  0.260  0.920  0.951  0.00
Ca  0.251  0.126  0.124  0.00
S  0.508  0.750  0.750  0.06
O  0.252  0.838  0.507  0.00
Ca  0.241  0.123  0.376  0.00
Ca  0.519  0.759  0.078  0.00
O  0.211  0.223  0.690  0.00
S  0.008  0.250  0.250  0.06
O  0.926  0.665  0.589  0.00
O  0.957  0.588  0.295  0.00
O  0.954  0.163  0.064  0.00
O  0.224  0.105  0.517  0.00
O  0.266  0.070  0.917  0.00
O  0.281  0.421  0.546  0.00
O  0.059  0.912  0.205  0.00
P  0.747  0.035  0.435  0.00
O  0.563  0.663  0.564  0.00
O  0.724  0.895  0.483  0.00
O  0.063  0.337  0.436  0.00
O  0.454  0.837  0.936  0.00
P  0.269  0.465  0.065  0.00
O  0.079  0.945  0.628  0.00
Ca  0.502  0.243  0.591  0.00
O  0.236  0.921  0.046  0.00
P  0.760  0.080  0.049  0.00
O  0.576  0.513  0.885  0.00
O  0.596  0.526  0.288  0.00
O  0.253  0.341  0.829  0.00
Ca  0.762  0.997  0.250  0.00
Ca  0.776  0.377  0.124  0.00
O  0.736  0.079  0.954  0.00
Ca  0.754  0.497  0.750  0.00
Ca  0.497  0.741  0.422  0.00
Ca  0.015  0.743  0.091  0.00
O  0.753  0.659  0.171  0.00
P  0.256  0.420  0.451  0.00
Ca  0.002  0.757  0.409  0.00
Ca  0.766  0.374  0.376  0.00
O  0.264  0.338  0.007  0.00
O  0.766  0.930  0.083  0.00
Ca  0.997  0.259  0.578  0.00
O  0.793  0.395  0.983  0.00
Ca  0.266  0.626  0.624  0.00
O  0.426  0.335  0.411  0.00
O  0.440  0.987  0.615  0.00

Results
Total DFT energy (no corrections): -10.93 eV/atom
Energy above the most stable polymorph in this dataset: 6 meV/atom
Spin magnetization: 0.27 μB/cell
ΔE_f (raw): -3.169 eV/atom

=====

Record 3
Here is Li2CuMo at its PBEsol-relaxed geometry from Alexandria. Energies are from meta-GGA SCAN.

Cell lengths 2.483, 3.984, 5.612 Å; angles 90.00, 90.00, 90.00 degrees
Element x y z (fractional)
Li  0.000  0.000  0.003
Mo  0.000  0.000  0.529
Li  0.500  0.500  0.238
Cu  0.500  0.500  0.730

Results
DFT formation energy: 304 meV/atom
Total DFT energy (no corrections): -13.41 eV/atom
Spin magnetization: 0.00 μB/cell

=====

Record 4
Here is SmGe2Pt2 at its PBEsol-relaxed geometry from Alexandria. Energies are from meta-GGA SCAN.

Cell lengths 4.294, 4.294, 9.977 Å; angles 90.00, 90.00, 90.00 degrees
Element x y z (fractional)
Ge  0.500  0.500  0.500
Ge  0.500  0.000  0.132
Pt  0.000  0.500  0.625
Sm  0.000  0.500  0.252
Pt  0.000  0.000  0.000
Ge  0.000  0.500  0.868
Sm  0.500  0.000  0.748
Pt  0.500  0.500  0.000
Pt  0.500  0.000  0.375
Ge  0.000  0.000  0.500

Results
DFT formation energy: -1122 meV/atom
Total DFT energy (no corrections): -45.72 eV/atom
Spin magnetization: 0.00 μB/cell

=====

Q: Number 3 is which compound?
A: Li2CuMo